1.
# SrLa2Y

SrLa2Y after structural relaxation (PBE, the Alexandria database).

abc: 6.051 6.051 6.051
angles: 60.00 60.00 60.00
Site moments in Bohr magnetons follow the coordinates.
Element x y z (fractional)
Y (0.750, 0.750, 0.750)  0.14
La (0.000, 0.000, 0.000)  0.21
La (0.250, 0.250, 0.250)  0.13
Sr (0.500, 0.500, 0.500)  0.02

Output
DOS(E_F): 7.726 states/eV/cell
Symmetry: F-43m (216)
Theoretical density: 4.8 g/cm³
VASP energy: -4.28 eV per atom
Formation energy from the elements: 0.2169 eV per atom
Volume: 156.66 Å³ per cell
Offset from the most stable computed form: 13.6 kJ per mole of atoms



2.
# Sr2LaY

Sr2LaY after structural relaxation (PBE, the Alexandria database).

abc: 6.987 6.987 6.987
angles: 134.99 134.99 65.54
Element x y z (fractional)
Y (0.250, 0.750, 0.500)
Sr (0.000, 0.000, 0.000)
Sr (0.500, 0.500, 0.000)
La (0.750, 0.250, 0.500)

Output
DOS(E_F): 7.790 states/eV/cell
Symmetry: I4/mmm (139)
Theoretical density: 4.0 g/cm³
VASP energy: -3.45 eV per atom
Formation energy from the elements: 0.2370 eV per atom
Volume: 168.07 Å³ per cell
Offset from the most stable computed form: 14.2 kJ per mole of atoms



3.
# SrLaY2

SrLaY2 after structural relaxation (PBE, the Alexandria database).

abc: 4.947 4.947 12.976
angles: 79.01 79.01 90.00
Site moments in Bohr magnetons follow the coordinates.
Element x y z (fractional)
La (0.750, 0.250, 0.500)  0.12
La (0.000, 0.000, 0.000)  0.12
Y (0.375, 0.364, 0.750)  0.21
Y (0.875, 0.886, 0.750)  0.22
Y (0.114, 0.625, 0.250)  0.21
Y (0.636, 0.125, 0.250)  0.21
Sr (0.250, 0.750, 0.500)  0.04
Sr (0.500, 0.500, 0.000)  0.04

Output
DOS(E_F): 16.286 states/eV/cell
Symmetry: I-42d (122)
Theoretical density: 4.4 g/cm³
VASP energy: -4.38 eV per atom
Formation energy from the elements: 0.5050 eV per atom
Volume: 305.86 Å³ per cell
Offset from the most stable computed form: 38.4 kJ per mole of atoms



4.
# Sr2LaY

Sr2LaY after structural relaxation (PBE, the Alexandria database).

abc: 3.747 3.747 12.871
angles: 90.00 90.00 111.73
Element x y z (fractional)
Y (0.500, 0.500, 0.250)
La (0.500, 0.500, 0.750)
Sr (0.000, 0.000, 0.008)
Sr (0.000, 0.000, 0.492)

Output
DOS(E_F): 6.565 states/eV/cell
Symmetry: Cmmm (65)
Theoretical density: 4.0 g/cm³
VASP energy: -3.48 eV per atom
Formation energy from the elements: 0.2105 eV per atom
Volume: 167.89 Å³ per cell
Offset from the most stable computed form: 11.7 kJ per mole of atoms